[1]
TaMoCl2: relaxed, PBE.

Computed properties:
For the spin magnetization, the calculation gives 0.55 μB per cell. The value obtained for the energy above the most stable polymorph in this dataset is 652.4 meV/atom.

abc: 6.139 6.139 7.462
angles: 52.57 52.57 28.79
Site moments in Bohr magnetons follow the coordinates.
Atoms (fractional coordinates):
Mo1 0.529 0.529 0.346  0.40
Cl1 0.865 0.865 0.259  0.01
Cl2 0.866 0.866 0.761  0.01
Ta1 0.241 0.241 0.134  -0.02

=====

[2]
TaMoCl2: relaxed, PBE.

Computed properties:
For the spin magnetization, the calculation gives 1.63 μB per cell. The value obtained for the energy above the most stable polymorph in this dataset is 777.2 meV/atom.

abc: 11.034 11.034 11.034
angles: 15.57 15.57 15.57
Site moments in Bohr magnetons follow the coordinates.
Atoms (fractional coordinates):
Mo1 0.250 0.250 0.250  1.09
Cl1 0.027 0.027 0.027  0.01
Cl2 0.473 0.473 0.473  0.01
Ta1 0.750 0.750 0.750  0.05

=====

[3]
TaMoCl2: relaxed, PBE.

Computed properties:
For the spin magnetization, the calculation gives 0.00 μB per cell. The value obtained for the energy above the most stable polymorph in this dataset is 381.5 meV/atom.

abc: 9.378 9.378 9.378
angles: 160.51 161.69 26.87
Atoms (fractional coordinates):
Mo1 0.431 0.431 0.000
Cl1 0.019 0.019 0.000
Cl2 0.730 0.230 0.500
Ta1 0.320 0.820 0.500

=====

> Among the records above, which one has the highest spin magnetization?

number 2